(1)
Here is YCuF after structural relaxation from Alexandria via LeMat-Bulk. Energies are from PBE.

space-group type: P4/nmm

Cell lengths 3.5499, 3.5499, 7.7398 Å; angles 90.00, 90.00, 90.00 degrees
Element x y z (fractional)
Cu (0.5000, 0.0000, 0.5822)
Cu (0.0000, 0.5000, 0.4178)
F (0.5000, 0.5000, 0.0000)
F (0.0000, 0.0000, 0.0000)
Y (0.0000, 0.5000, 0.7919)
Y (0.5000, 0.0000, 0.2081)

(2)
Here is YCuF3 after structural relaxation from Alexandria via LeMat-Bulk. Energies are from PBE.

space-group type: Pm-3m

Cell lengths 4.4273, 4.4273, 4.4273 Å; angles 90.00, 90.00, 90.00 degrees
Element x y z (fractional)
F (0.0000, 0.0000, 0.5000)
F (0.5000, 0.0000, 0.0000)
F (0.0000, 0.5000, 0.0000)
Cu (0.5000, 0.5000, 0.5000)
Y (0.0000, 0.0000, 0.0000)

(3)
Here is YCuF2 after structural relaxation from Alexandria via LeMat-Bulk. Energies are from PBE.

space-group type: R-3m

Cell lengths 6.3874, 6.3874, 6.3874 Å; angles 33.60, 33.60, 33.60 degrees
Element x y z (fractional)
F (0.8806, 0.8806, 0.8806)
F (0.1194, 0.1194, 0.1194)
Cu (0.5000, 0.5000, 0.5000)
Y (0.0000, 0.0000, 0.0000)

(4)
Here is YCuF3 after structural relaxation from Alexandria via LeMat-Bulk. Energies are from PBE.

space-group type: Pm-3m

Cell lengths 4.1366, 4.1366, 4.1366 Å; angles 90.00, 90.00, 90.00 degrees
Element x y z (fractional)
Cu (0.0000, 0.0000, 0.0000)
F (0.5000, 0.0000, 0.0000)
F (0.0000, 0.5000, 0.0000)
F (0.0000, 0.0000, 0.5000)
Y (0.5000, 0.5000, 0.5000)

(5)
Here is Y2CuF8 after structural relaxation from Alexandria via LeMat-Bulk. Energies are from PBE.

space-group type: C2/m

Cell lengths 3.4378, 5.8168, 8.1021 Å; angles 87.23, 102.25, 90.00 degrees
Element x y z (fractional)
F (0.6233, 0.9318, 0.2466)
F (0.2456, 0.3284, 0.4913)
F (0.9865, 0.2174, 0.9730)
F (0.3929, 0.5374, 0.7858)
F (0.6071, 0.4626, 0.2142)
F (0.7544, 0.6716, 0.5087)
F (0.3767, 0.0682, 0.7534)
F (0.0135, 0.7826, 0.0270)
Y (0.1518, 0.6526, 0.3035)
Y (0.8482, 0.3474, 0.6965)
Cu (0.5000, 0.0000, 0.0000)

(6)
Here is YCuF2 after structural relaxation from Alexandria via LeMat-Bulk. Energies are from PBE.

space-group type: I-42d

Cell lengths 4.7035, 4.7035, 7.8414 Å; angles 72.55, 72.55, 90.00 degrees
Element x y z (fractional)
Y (0.0000, 0.0000, 0.0000)
Y (0.7500, 0.2500, 0.5000)
F (0.9779, 0.6250, 0.2500)
F (0.8750, 0.0221, 0.7500)
F (0.7721, 0.1250, 0.2500)
F (0.3750, 0.2279, 0.7500)
Cu (0.5000, 0.5000, 0.0000)
Cu (0.2500, 0.7500, 0.5000)

Number 1: energy -5.937 eV per atom, total magnetization 0.00 μB per formula unit, uncorrected formation energy -1793 meV/atom. Number 2: energy -5.833 eV per atom, total magnetization 0.00 μB per formula unit, uncorrected formation energy -2598 meV/atom. Number 3: energy -5.185 eV per atom, total magnetization 0.00 μB per formula unit, uncorrected formation energy -1609 meV/atom. Number 4: energy -5.065 eV per atom, total magnetization 0.00 μB per formula unit, uncorrected formation energy -1830 meV/atom. Number 5: energy -6.201 eV per atom, total magnetization 1.00 μB per formula unit, uncorrected formation energy -3293 meV/atom. Number 6: energy -5.620 eV per atom, total magnetization 0.00 μB per formula unit, uncorrected formation energy -2045 meV/atom.